PBE AsOs, relaxed; formation enthalpy at 0 K = 0.311 eV per atom; SG = Amm2; M_tot = 0.0 μB/f.u.
1.0
3.8052 0.0000 0.0000
0.0000 4.5178 2.9433
0.0000 -4.5178 2.9433
As Os
3 3
Direct
0.0000 0.0000 0.0000 As
0.5000 0.4208 0.7513 As
0.5000 0.7513 0.4208 As
0.0000 0.0660 0.5516 Os
0.0000 0.5516 0.0660 Os
0.5000 0.2674 0.2674 Os